Below is an optimized crystal structure of NaCrAsO5, with properties calculated at the GGA+U level.

Structure (CIF):
```
data_NaCrAsO5
_chemical_formula_sum 'Na4 Cr4 As4 O20'
_space_group_name_H-M_alt 'C 1 2/c 1'
_space_group_IT_number 15
_cell_length_a 6.765
_cell_length_b 8.847
_cell_length_c 7.084
_cell_angle_alpha 90.00
_cell_angle_beta 114.38
_cell_angle_gamma 90.00
loop_
_space_group_symop_operation_xyz
'x,y,z'
'-x,-y,-z'
'-x,y,-z+1/2'
'x,-y,z+1/2'
'x+1/2,y+1/2,z'
'-x+1/2,-y+1/2,-z'
'-x+1/2,y+1/2,-z+1/2'
'x+1/2,-y+1/2,z+1/2'
loop_
_atom_site_label
_atom_site_fract_x
_atom_site_fract_y
_atom_site_fract_z
_atom_site_occupancy
Na1 0.000 0.172 0.250 1
Cr1 0.000 0.500 0.000 1
As1 0.000 0.184 0.750 1
O1 0.000 0.447 0.250 1
O2 0.106 0.291 0.609 1
O3 0.191 0.064 0.920 1
```

Properties
Its uncorrected energy is -0.2322 Ha/atom.